1.
DFT (PBE-GGA) results for a relaxed structure of Pu2ZnNi. Values from VASP.

```
&SYSTEM
  ibrav = 0, nat = 4, ntyp = 3
/
ATOMIC_SPECIES
Pu 244.00 Pu.upf
Zn 65.41 Zn.upf
Ni 58.69 Ni.upf
ATOMIC_POSITIONS angstrom
Pu 0.0000 0.0000 3.0612
Pu 0.0000 0.0000 29.3668
Zn 0.0000 0.0000 0.0000
Ni 0.0000 0.0000 16.2140
CELL_PARAMETERS angstrom
1.4427 0.8329 10.8093
-1.4427 0.8329 10.8093
0.0000 -1.6659 10.8093
```

M_tot = 9.9 μB/f.u.
Density = 13.04 g/cm3



2.
DFT (PBE-GGA) results for a relaxed structure of Pu2ZnNi. Values from VASP.

```
&SYSTEM
  ibrav = 0, nat = 4, ntyp = 3
/
ATOMIC_SPECIES
Pu 244.00 Pu.upf
Zn 65.41 Zn.upf
Ni 58.69 Ni.upf
ATOMIC_POSITIONS angstrom
Pu 0.0000 0.0000 1.4199
Pu 0.0000 0.0000 4.5734
Zn 1.8354 1.8354 2.9966
Ni 1.8354 1.8354 0.0000
CELL_PARAMETERS angstrom
3.6708 0.0000 0.0000
0.0000 3.6708 0.0000
0.0000 0.0000 5.9933
```

M_tot = 11.0 μB/f.u.
Density = 12.59 g/cm3



Most stable: 2 (next structure +384 meV per atom)



1.
DFT (PBE-GGA) results for a relaxed structure of PuZrNi2. Values from VASP.

```
&SYSTEM
  ibrav = 0, nat = 4, ntyp = 3
/
ATOMIC_SPECIES
Pu 244.00 Pu.upf
Zr 91.22 Zr.upf
Ni 58.69 Ni.upf
ATOMIC_POSITIONS angstrom
Pu 0.0000 0.0000 0.0000
Zr 0.0000 0.0000 3.4454
Ni 1.6118 1.6118 2.0057
Ni 1.6118 1.6118 4.8851
CELL_PARAMETERS angstrom
3.2235 0.0000 0.0000
0.0000 3.2235 0.0000
0.0000 0.0000 6.8908
```

M_tot = 5.7 μB/f.u.
Density = 10.50 g/cm3



2.
DFT (PBE-GGA) results for a relaxed structure of PuZrNi2. Values from VASP.

```
&SYSTEM
  ibrav = 0, nat = 4, ntyp = 3
/
ATOMIC_SPECIES
Pu 244.00 Pu.upf
Zr 91.22 Zr.upf
Ni 58.69 Ni.upf
ATOMIC_POSITIONS angstrom
Pu 0.0000 0.0000 0.0000
Zr 3.2861 3.2861 3.2861
Ni 1.6431 1.6431 1.6431
Ni 4.9292 4.9292 4.9292
CELL_PARAMETERS angstrom
0.0000 3.2861 3.2861
3.2861 0.0000 3.2861
3.2861 3.2861 0.0000
```

M_tot = 5.5 μB/f.u.
Density = 10.59 g/cm3



Most stable: 1 (next structure +101 meV per atom)



1.
DFT (PBE-GGA) results for a relaxed structure of RbReNi3. Values from VASP.

```
&SYSTEM
  ibrav = 0, nat = 5, ntyp = 3
/
ATOMIC_SPECIES
Rb 85.47 Rb.upf
Re 186.21 Re.upf
Ni 58.69 Ni.upf
ATOMIC_POSITIONS angstrom
Rb 0.0000 0.0000 0.0000
Re 2.3502 2.3502 2.3502
Ni 0.0000 2.3502 2.3502
Ni 2.3502 0.0000 2.3502
Ni 2.3502 2.3502 0.0000
CELL_PARAMETERS angstrom
4.7005 0.0000 0.0000
0.0000 4.7005 0.0000
0.0000 0.0000 4.7005
```

M_tot = 0.0 μB/f.u.
Density = 7.16 g/cm3



2.
DFT (PBE-GGA) results for a relaxed structure of RbReNi3. Values from VASP.

```
&SYSTEM
  ibrav = 0, nat = 5, ntyp = 3
/
ATOMIC_SPECIES
Rb 85.47 Rb.upf
Re 186.21 Re.upf
Ni 58.69 Ni.upf
ATOMIC_POSITIONS angstrom
Rb 0.0000 0.0000 0.0000
Re 2.2708 2.2708 2.2708
Ni 0.0000 0.0000 2.2708
Ni 0.0000 2.2708 0.0000
Ni 2.2708 0.0000 0.0000
CELL_PARAMETERS angstrom
4.5416 0.0000 0.0000
0.0000 4.5416 0.0000
0.0000 0.0000 4.5416
```

M_tot = 4.5 μB/f.u.
Density = 7.94 g/cm3



Most stable: 1 (next structure +1616 meV per atom)



1.
DFT (PBE-GGA) results for a relaxed structure of RbRe2Ni. Values from VASP.

```
&SYSTEM
  ibrav = 0, nat = 4, ntyp = 3
/
ATOMIC_SPECIES
Rb 85.47 Rb.upf
Re 186.21 Re.upf
Ni 58.69 Ni.upf
ATOMIC_POSITIONS angstrom
Rb 0.0000 0.0000 0.0000
Re 1.5951 1.5951 1.5951
Re 4.7854 4.7854 4.7854
Ni 3.1902 3.1902 3.1902
CELL_PARAMETERS angstrom
0.0000 3.1902 3.1902
3.1902 0.0000 3.1902
3.1902 3.1902 0.0000
```

M_tot = 0.0 μB/f.u.
Density = 13.21 g/cm3



2.
DFT (PBE-GGA) results for a relaxed structure of RbRe2Ni. Values from VASP.

```
&SYSTEM
  ibrav = 0, nat = 8, ntyp = 3
/
ATOMIC_SPECIES
Rb 85.47 Rb.upf
Re 186.21 Re.upf
Ni 58.69 Ni.upf
ATOMIC_POSITIONS angstrom
Rb 2.4198 1.2099 2.1697
Rb 0.0000 1.2099 6.5090
Re 0.0000 0.0000 0.0000
Re 1.2099 1.2099 -4.3393
Re 1.2099 -1.2099 4.3393
Re 0.0000 2.4198 0.0000
Ni 2.4198 -1.2099 6.5090
Ni 0.0000 3.6298 2.1697
CELL_PARAMETERS angstrom
-2.4198 2.4198 8.6786
2.4198 -2.4198 8.6786
2.4198 2.4198 -8.6786
```

M_tot = 0.0 μB/f.u.
Density = 8.44 g/cm3



Most stable: 2 (next structure +530 meV per atom)



1.
DFT (PBE-GGA) results for a relaxed structure of Rb2ReNi. Values from VASP.

```
&SYSTEM
  ibrav = 0, nat = 8, ntyp = 3
/
ATOMIC_SPECIES
Rb 85.47 Rb.upf
Re 186.21 Re.upf
Ni 58.69 Ni.upf
ATOMIC_POSITIONS angstrom
Rb 0.8471 3.2242 0.5651
Rb -3.2242 5.6012 1.6952
Rb -0.8471 9.6725 0.5651
Rb 3.2242 7.2954 1.6952
Re 6.4483 0.0000 1.1301
Re 0.0000 0.0000 2.2603
Ni 0.0000 0.0000 0.0000
Ni 0.0000 6.4483 1.1301
CELL_PARAMETERS angstrom
-6.4483 6.4483 2.2603
6.4483 -6.4483 2.2603
6.4483 6.4483 -2.2603
```

M_tot = 3.1 μB/f.u.
Density = 3.67 g/cm3



2.
DFT (PBE-GGA) results for a relaxed structure of Rb2ReNi. Values from VASP.

```
&SYSTEM
  ibrav = 0, nat = 4, ntyp = 3
/
ATOMIC_SPECIES
Rb 85.47 Rb.upf
Re 186.21 Re.upf
Ni 58.69 Ni.upf
ATOMIC_POSITIONS angstrom
Rb 2.0595 2.0595 2.0595
Rb 6.1786 6.1786 6.1786
Re 0.0000 0.0000 0.0000
Ni 4.1191 4.1191 4.1191
CELL_PARAMETERS angstrom
0.0000 4.1191 4.1191
4.1191 0.0000 4.1191
4.1191 4.1191 0.0000
```

M_tot = 5.0 μB/f.u.
Density = 4.94 g/cm3



Most stable: 1 (next structure +687 meV per atom)



1.
DFT (PBE-GGA) results for a relaxed structure of Rb2NiRh. Values from VASP.

```
&SYSTEM
  ibrav = 0, nat = 8, ntyp = 3
/
ATOMIC_SPECIES
Rb 85.47 Rb.upf
Ni 58.69 Ni.upf
Rh 102.91 Rh.upf
ATOMIC_POSITIONS angstrom
Rb 6.8723 2.2849 -0.7274
Rb 2.2849 2.2908 0.7274
Rb -2.2908 2.2967 2.1822
Rb 2.2967 2.2908 3.6369
Ni 4.5816 0.0000 1.4548
Ni 0.0000 0.0000 2.9095
Rh 0.0000 0.0000 0.0000
Rh 0.0000 4.5816 1.4548
CELL_PARAMETERS angstrom
-4.5816 4.5816 2.9095
4.5816 -4.5816 2.9095
4.5816 4.5816 -2.9095
```

M_tot = 1.4 μB/f.u.
Density = 4.52 g/cm3



2.
DFT (PBE-GGA) results for a relaxed structure of Rb2NiRh. Values from VASP.

```
&SYSTEM
  ibrav = 0, nat = 4, ntyp = 3
/
ATOMIC_SPECIES
Rb 85.47 Rb.upf
Ni 58.69 Ni.upf
Rh 102.91 Rh.upf
ATOMIC_POSITIONS angstrom
Rb 1.9407 1.9407 1.9407
Rb 5.8220 5.8220 5.8220
Ni 0.0000 0.0000 0.0000
Rh 3.8813 3.8813 3.8813
CELL_PARAMETERS angstrom
0.0000 3.8813 3.8813
3.8813 0.0000 3.8813
3.8813 3.8813 0.0000
```

M_tot = 0.8 μB/f.u.
Density = 4.72 g/cm3



Most stable: 1 (next structure +86 meV per atom)



1.
DFT (PBE-GGA) results for a relaxed structure of RbNi2Ru. Values from VASP.

```
&SYSTEM
  ibrav = 0, nat = 8, ntyp = 3
/
ATOMIC_SPECIES
Rb 85.47 Rb.upf
Ni 58.69 Ni.upf
Ru 101.07 Ru.upf
ATOMIC_POSITIONS angstrom
Rb 2.5852 1.2926 1.8910
Rb 0.0000 1.2926 5.6729
Ni 0.0000 0.0000 0.0000
Ni 1.2926 1.2926 -3.7819
Ni 1.2926 -1.2926 3.7819
Ni 0.0000 2.5852 0.0000
Ru 2.5852 -1.2926 5.6729
Ru 0.0000 3.8778 1.8910
CELL_PARAMETERS angstrom
-2.5852 2.5852 7.5638
2.5852 -2.5852 7.5638
2.5852 2.5852 -7.5638
```

M_tot = 0.0 μB/f.u.
Density = 4.99 g/cm3



2.
DFT (PBE-GGA) results for a relaxed structure of RbNi2Ru. Values from VASP.

```
&SYSTEM
  ibrav = 0, nat = 4, ntyp = 3
/
ATOMIC_SPECIES
Rb 85.47 Rb.upf
Ni 58.69 Ni.upf
Ru 101.07 Ru.upf
ATOMIC_POSITIONS angstrom
Rb 0.0000 0.0000 0.0000
Ni 1.6273 1.6273 1.6273
Ni 4.8818 4.8818 4.8818
Ru 3.2545 3.2545 3.2545
CELL_PARAMETERS angstrom
0.0000 3.2545 3.2545
3.2545 0.0000 3.2545
3.2545 3.2545 0.0000
```

M_tot = 2.8 μB/f.u.
Density = 7.32 g/cm3



Most stable: 1 (next structure +376 meV per atom)



1.
DFT (PBE-GGA) results for a relaxed structure of RbNi3Ru. Values from VASP.

```
&SYSTEM
  ibrav = 0, nat = 5, ntyp = 3
/
ATOMIC_SPECIES
Rb 85.47 Rb.upf
Ni 58.69 Ni.upf
Ru 101.07 Ru.upf
ATOMIC_POSITIONS angstrom
Rb 0.0000 0.0000 0.0000
Ni 0.0000 0.0000 2.2551
Ni 0.0000 2.2551 0.0000
Ni 2.2551 0.0000 0.0000
Ru 2.2551 2.2551 2.2551
CELL_PARAMETERS angstrom
4.5102 0.0000 0.0000
0.0000 4.5102 0.0000
0.0000 0.0000 4.5102
```

M_tot = 2.7 μB/f.u.
Density = 6.56 g/cm3



2.
DFT (PBE-GGA) results for a relaxed structure of RbNi3Ru. Values from VASP.

```
&SYSTEM
  ibrav = 0, nat = 5, ntyp = 3
/
ATOMIC_SPECIES
Rb 85.47 Rb.upf
Ni 58.69 Ni.upf
Ru 101.07 Ru.upf
ATOMIC_POSITIONS angstrom
Rb 0.0000 0.0000 0.0000
Ni 0.0000 2.3381 2.3381
Ni 2.3381 0.0000 2.3381
Ni 2.3381 2.3381 0.0000
Ru 2.3381 2.3381 2.3381
CELL_PARAMETERS angstrom
4.6763 0.0000 0.0000
0.0000 4.6763 0.0000
0.0000 0.0000 4.6763
```

M_tot = 2.2 μB/f.u.
Density = 5.89 g/cm3



Most stable: 2 (next structure +1456 meV per atom)



1.
DFT (PBE-GGA) results for a relaxed structure of RbNiRu3. Values from VASP.

```
&SYSTEM
  ibrav = 0, nat = 5, ntyp = 3
/
ATOMIC_SPECIES
Rb 85.47 Rb.upf
Ni 58.69 Ni.upf
Ru 101.07 Ru.upf
ATOMIC_POSITIONS angstrom
Rb 0.0000 0.0000 0.0000
Ni 2.3208 2.3208 2.3208
Ru 0.0000 2.3208 2.3208
Ru 2.3208 0.0000 2.3208
Ru 2.3208 2.3208 0.0000
CELL_PARAMETERS angstrom
4.6416 0.0000 0.0000
0.0000 4.6416 0.0000
0.0000 0.0000 4.6416
```

M_tot = 0.1 μB/f.u.
Density = 7.43 g/cm3



2.
DFT (PBE-GGA) results for a relaxed structure of RbNiRu3. Values from VASP.

```
&SYSTEM
  ibrav = 0, nat = 5, ntyp = 3
/
ATOMIC_SPECIES
Rb 85.47 Rb.upf
Ni 58.69 Ni.upf
Ru 101.07 Ru.upf
ATOMIC_POSITIONS angstrom
Rb 0.0000 0.0000 0.0000
Ni 2.3534 2.3534 2.3534
Ru 0.0000 0.0000 2.3534
Ru 0.0000 2.3534 0.0000
Ru 2.3534 0.0000 0.0000
CELL_PARAMETERS angstrom
4.7068 0.0000 0.0000
0.0000 4.7068 0.0000
0.0000 0.0000 4.7068
```

M_tot = 5.5 μB/f.u.
Density = 7.12 g/cm3



Most stable: 1 (next structure +1501 meV per atom)



1.
DFT (PBE-GGA) results for a relaxed structure of Rb2NiRu. Values from VASP.

```
&SYSTEM
  ibrav = 0, nat = 4, ntyp = 3
/
ATOMIC_SPECIES
Rb 85.47 Rb.upf
Ni 58.69 Ni.upf
Ru 101.07 Ru.upf
ATOMIC_POSITIONS angstrom
Rb 2.0348 2.0348 2.0348
Rb 6.1045 6.1045 6.1045
Ni 0.0000 0.0000 0.0000
Ru 4.0696 4.0696 4.0696
CELL_PARAMETERS angstrom
0.0000 4.0696 4.0696
4.0696 0.0000 4.0696
4.0696 4.0696 0.0000
```

M_tot = 3.8 μB/f.u.
Density = 4.07 g/cm3



2.
DFT (PBE-GGA) results for a relaxed structure of Rb2NiRu. Values from VASP.

```
&SYSTEM
  ibrav = 0, nat = 8, ntyp = 3
/
ATOMIC_SPECIES
Rb 85.47 Rb.upf
Ni 58.69 Ni.upf
Ru 101.07 Ru.upf
ATOMIC_POSITIONS angstrom
Rb 0.8496 3.1424 0.5625
Rb -3.1424 5.4351 1.6875
Rb -0.8496 9.4272 0.5625
Rb 3.1424 7.1344 1.6875
Ni 0.0000 0.0000 0.0000
Ni 0.0000 6.2848 1.1250
Ru 6.2848 0.0000 1.1250
Ru 0.0000 0.0000 2.2500
CELL_PARAMETERS angstrom
-6.2848 6.2848 2.2500
6.2848 -6.2848 2.2500
6.2848 6.2848 -2.2500
```

M_tot = 1.9 μB/f.u.
Density = 3.09 g/cm3



Most stable: 2 (next structure +637 meV per atom)



1.
DFT (PBE-GGA) results for a relaxed structure of RbNiSb2. Values from VASP.

```
&SYSTEM
  ibrav = 0, nat = 4, ntyp = 3
/
ATOMIC_SPECIES
Rb 85.47 Rb.upf
Ni 58.69 Ni.upf
Sb 121.76 Sb.upf
ATOMIC_POSITIONS angstrom
Rb 0.0000 0.0000 0.0000
Ni 3.6967 3.6967 3.6967
Sb 1.8483 1.8483 1.8483
Sb 5.5450 5.5450 5.5450
CELL_PARAMETERS angstrom
0.0000 3.6967 3.6967
3.6967 0.0000 3.6967
3.6967 3.6967 0.0000
```

M_tot = 0.0 μB/f.u.
Density = 6.37 g/cm3



2.
DFT (PBE-GGA) results for a relaxed structure of RbNiSb2. Values from VASP.

```
&SYSTEM
  ibrav = 0, nat = 4, ntyp = 3
/
ATOMIC_SPECIES
Rb 85.47 Rb.upf
Ni 58.69 Ni.upf
Sb 121.76 Sb.upf
ATOMIC_POSITIONS angstrom
Rb 0.0000 0.0000 0.0000
Ni 0.0000 0.0000 19.6586
Sb 0.0000 0.0000 4.9866
Sb 0.0000 0.0000 10.6852
CELL_PARAMETERS angstrom
2.0503 1.1838 7.8950
-2.0503 1.1838 7.8950
0.0000 -2.3675 7.8950
```

M_tot = 0.0 μB/f.u.
Density = 5.60 g/cm3



3.
DFT (PBE-GGA) results for a relaxed structure of RbNiSb2. Values from VASP.

```
&SYSTEM
  ibrav = 0, nat = 8, ntyp = 3
/
ATOMIC_SPECIES
Rb 85.47 Rb.upf
Ni 58.69 Ni.upf
Sb 121.76 Sb.upf
ATOMIC_POSITIONS angstrom
Rb 3.0018 1.5009 1.9978
Rb 0.0000 1.5009 5.9933
Ni 3.0018 -1.5009 5.9933
Ni 0.0000 4.5028 1.9978
Sb 0.0000 0.0000 0.0000
Sb 1.5009 1.5009 -3.9955
Sb 1.5009 -1.5009 3.9955
Sb 0.0000 3.0018 0.0000
CELL_PARAMETERS angstrom
-3.0018 3.0018 7.9910
3.0018 -3.0018 7.9910
3.0018 3.0018 -7.9910
```

M_tot = 0.0 μB/f.u.
Density = 4.47 g/cm3



4.
DFT (PBE-GGA) results for a relaxed structure of RbNiSb2. Values from VASP.

```
&SYSTEM
  ibrav = 0, nat = 4, ntyp = 3
/
ATOMIC_SPECIES
Rb 85.47 Rb.upf
Ni 58.69 Ni.upf
Sb 121.76 Sb.upf
ATOMIC_POSITIONS angstrom
Rb 0.0000 0.0000 0.0000
Ni 0.0000 0.0000 4.2473
Sb 1.7349 1.7349 2.8123
Sb 1.7349 1.7349 5.6822
CELL_PARAMETERS angstrom
3.4697 0.0000 0.0000
0.0000 3.4697 0.0000
0.0000 0.0000 8.4945
```

M_tot = 0.0 μB/f.u.
Density = 6.30 g/cm3



Most stable: 2 (next structure +228 meV per atom)



1.
DFT (PBE-GGA) results for a relaxed structure of RbNi3Sb. Values from VASP.

```
&SYSTEM
  ibrav = 0, nat = 5, ntyp = 3
/
ATOMIC_SPECIES
Rb 85.47 Rb.upf
Ni 58.69 Ni.upf
Sb 121.76 Sb.upf
ATOMIC_POSITIONS angstrom
Rb 0.0000 0.0000 0.0000
Ni 0.0000 2.4476 2.4476
Ni 2.4476 0.0000 2.4476
Ni 2.4476 2.4476 0.0000
Sb 2.4476 2.4476 2.4476
CELL_PARAMETERS angstrom
4.8952 0.0000 0.0000
0.0000 4.8952 0.0000
0.0000 0.0000 4.8952
```

M_tot = 1.9 μB/f.u.
Density = 5.43 g/cm3



2.
DFT (PBE-GGA) results for a relaxed structure of RbNi3Sb. Values from VASP.

```
&SYSTEM
  ibrav = 0, nat = 5, ntyp = 3
/
ATOMIC_SPECIES
Rb 85.47 Rb.upf
Ni 58.69 Ni.upf
Sb 121.76 Sb.upf
ATOMIC_POSITIONS angstrom
Rb 0.0000 0.0000 0.0000
Ni 0.0000 0.0000 2.3483
Ni 0.0000 2.3483 0.0000
Ni 2.3483 0.0000 0.0000
Sb 2.3483 2.3483 2.3483
CELL_PARAMETERS angstrom
4.6965 0.0000 0.0000
0.0000 4.6965 0.0000
0.0000 0.0000 4.6965
```

M_tot = 0.0 μB/f.u.
Density = 6.14 g/cm3



Most stable: 1 (next structure +1299 meV per atom)